Computed, not measured: a relaxed SmTmTe crystal at the PBE level of DFT.

Cell lengths 5.1668, 5.1668, 3.9937 Å; angles 90.00, 90.00, 120.00 degrees
Space group P3m1 (No. 156)
Unique sites:
Sm 0.0000 0.0000 0.0000 x1
Tm 0.3333 0.6667 0.5072 x1
Te 0.6667 0.3333 0.6771 x1

Calculated values
calculated total energy: -4.589 eV/atom
crystal system: trigonal
E_form (uncorrected): -478 meV per atom
total moment: 0.0 μB per formula unit
D(E_F): 3.44 states/eV per cell